LaPdN2F: optimized geometry, PBE-GGA.

Structure (extended XYZ):
```
5
Lattice="4.050 0.000 0.000 0.000 4.050 0.000 0.000 0.000 4.223" Properties=species:S:1:pos:R:3 pbc="T T T"
La 0.000 0.000 0.000
Pd 2.025 2.025 2.111
N 0.000 2.025 2.111
N 2.025 0.000 2.111
F 2.025 2.025 0.000
```

N(E_F) = 0.77 states/eV per atom
Relative energy among the computed polymorphs = 0.0000 eV per atom
Theoretical density = 7.01 Mg/m³
Formation energy without anion corrections = -448 meV per atom
Total energy = -30.88 eV/cell
Space group = P4/mmm (123)